First-principles (PBE) data for MgV2B2 after structural relaxation, as listed in the Alexandria database.

a = 6.691 Å, b = 6.691 Å, c = 2.497 Å
α = 90.00°, β = 90.00°, γ = 90.00°
Space group P4/mbm (No. 127)
Unique sites:
Mg 0.000 0.000 0.000 (multiplicity 2)
V 0.123 0.377 0.000 (multiplicity 4)
B 0.173 0.673 0.500 (multiplicity 4)

The density of states at the Fermi level comes out at 5.25 states/eV/cell. For the polymorph energy (0 for the lowest one), the calculation gives 456 meV/atom. The value obtained for the formation energy is 0.23 eV per atom. For the calculated total energy, the calculation gives -6.4073 eV per atom. The total magnetization is 0.00 μB/cell.